Computed, not measured: a geometry-optimized Cr2WSe structure at the PBE level of DFT.

Cell and atoms, written as CIF:
```
data_Cr2WSe
_space_group_name_H-M_alt 'I m m m'
_space_group_IT_number 71
_space_group_name_Hall '-I 2 2'
_cell_length_a 3.016
_cell_length_b 4.263
_cell_length_c 8.498
_cell_angle_alpha 90.00
_cell_angle_beta 90.00
_cell_angle_gamma 90.00
loop_
_atom_site_label
_atom_site_type_symbol
_atom_site_fract_x
_atom_site_fract_y
_atom_site_fract_z
Cr1 Cr 0.000 0.000 0.236
W1 W 0.000 0.500 0.000
Se1 Se 0.000 0.500 0.500
```

Values from the calculation:
M_tot ... 0.00 μB per cell
DOS(E_F) ... 4.5 states/eV/f.u.
Formation energy without anion corrections ... 0.4290 eV per atom